# Gd3Tl2Sn4Pb

A relaxed structure of Gd3Tl2Sn4Pb (GGA-PBE, OQMD).

Structure (extended XYZ):
```
10
Lattice="-10.605 7.199 2.801 8.918 -6.679 -6.928 -2.520 -3.921 0.536" Properties=species:S:1:pos:R:3 pbc="T T T"
Sn 3.569 -5.733 -4.622
Tl -4.062 -0.308 -0.820
Tl -0.145 -3.093 -2.771
Sn -7.776 2.331 1.031
Sn 7.035 -5.340 -5.989
Gd -0.844 0.260 -2.064
Gd 2.855 -2.369 -3.906
Gd -4.542 2.889 -0.221
Pb -1.260 -1.961 0.268
Sn -8.722 5.860 1.862
```

Computed properties:
* density: 9.531 Mg/m³
* relative energy among the computed polymorphs: 0.00 kcal/mol of atoms
* final energy: -4.30 eV per atom
* space-group type: Cmmm, No. 65

***

# Gd3Tl3Sn2Pb2

A relaxed structure of Gd3Tl3Sn2Pb2 (GGA-PBE, OQMD).

Structure (extended XYZ):
```
10
Lattice="2.274 -12.759 0.000 2.274 12.759 0.000 0.000 0.000 4.753" Properties=species:S:1:pos:R:3 pbc="T T T"
Pb 2.274 2.463 0.000
Gd 2.274 -7.892 0.000
Sn 2.274 -5.318 2.377
Gd 2.274 7.892 0.000
Tl 2.274 0.000 2.377
Tl 2.274 10.240 2.377
Pb 2.274 -2.463 0.000
Tl 2.274 -10.240 2.377
Sn 2.274 5.318 2.377
Gd 0.000 0.000 0.000
```

Computed properties:
* density: 10.457 Mg/m³
* relative energy among the computed polymorphs: 0.00 kcal/mol of atoms
* final energy: -4.05 eV per atom
* space-group type: Cmmm, No. 65

***

# Gd3Tl2Sn2Pb3

A relaxed structure of Gd3Tl2Sn2Pb3 (GGA-PBE, OQMD).

Structure (extended XYZ):
```
10
Lattice="-6.400 8.975 -6.958 4.272 -6.564 10.421 3.633 2.806 0.278" Properties=species:S:1:pos:R:3 pbc="T T T"
Tl 1.799 1.085 3.574
Gd -2.593 7.480 -3.577
Gd 1.816 1.403 0.139
Pb 1.135 -1.997 5.313
Gd 4.098 -2.263 7.318
Pb -1.064 1.205 1.731
Pb -3.263 4.408 -1.850
Sn 3.245 -5.069 8.748
Sn -5.373 7.480 -5.285
Tl -0.294 4.132 0.167
```

Computed properties:
* density: 10.368 Mg/m³
* relative energy among the computed polymorphs: 0.29 kcal/mol of atoms
* final energy: -4.18 eV per atom
* space-group type: Cmmm, No. 65

***

# Gd3Tl2Sn2Pb3

A relaxed structure of Gd3Tl2Sn2Pb3 (GGA-PBE, OQMD).

Structure (extended XYZ):
```
10
Lattice="2.273 -12.977 0.000 2.273 12.977 0.000 0.000 0.000 4.723" Properties=species:S:1:pos:R:3 pbc="T T T"
Gd 2.274 -8.011 2.361
Tl 2.274 10.383 0.000
Sn 2.274 5.429 0.000
Pb 2.274 0.000 0.000
Gd 2.274 8.011 2.361
Pb 2.274 -2.528 2.361
Tl 2.274 -10.383 0.000
Gd 0.000 0.000 2.361
Pb 2.274 2.528 2.361
Sn 2.274 -5.429 0.000
```

Computed properties:
* density: 10.366 Mg/m³
* relative energy among the computed polymorphs: 0.00 kcal/mol of atoms
* final energy: -4.19 eV per atom
* space-group type: Cmmm, No. 65

***

# Gd3Tl2Sn3Pb2

A relaxed structure of Gd3Tl2Sn3Pb2 (GGA-PBE, OQMD).

Structure (extended XYZ):
```
10
Lattice="2.307 -12.882 0.000 2.307 12.882 0.000 0.000 0.000 4.636" Properties=species:S:1:pos:R:3 pbc="T T T"
Sn 0.000 0.000 2.318
Tl 2.307 10.356 0.000
Gd 2.307 4.907 0.000
Gd 2.307 -4.907 0.000
Sn 2.307 -7.505 2.318
Pb 2.307 2.515 2.318
Pb 2.307 -2.515 2.318
Gd 2.307 0.000 0.000
Tl 2.307 -10.356 0.000
Sn 2.307 7.505 2.318
```

Computed properties:
* density: 9.948 Mg/m³
* relative energy among the computed polymorphs: 0.05 kcal/mol of atoms
* final energy: -4.24 eV per atom
* space-group type: Cmmm, No. 65

***

# Gd3Tl3Sn2Pb2

A relaxed structure of Gd3Tl3Sn2Pb2 (GGA-PBE, OQMD).

Structure (extended XYZ):
```
10
Lattice="2.347 -12.258 0.000 2.347 12.258 0.000 0.000 0.000 4.811" Properties=species:S:1:pos:R:3 pbc="T T T"
Tl 2.347 -5.057 0.000
Gd 0.000 0.000 2.405
Tl 2.347 0.000 0.000
Sn 2.347 -2.399 2.405
Sn 2.347 2.399 2.405
Tl 2.347 5.057 0.000
Pb 2.347 9.838 0.000
Pb 2.347 -9.838 0.000
Gd 2.347 -7.618 2.405
Gd 2.347 7.618 2.405
```

Computed properties:
* density: 10.420 Mg/m³
* relative energy among the computed polymorphs: 0.99 kcal/mol of atoms
* final energy: -4.01 eV per atom
* space-group type: Cmmm, No. 65

***

# Gd3Tl2Sn2Pb3

A relaxed structure of Gd3Tl2Sn2Pb3 (GGA-PBE, OQMD).

Structure (extended XYZ):
```
10
Lattice="2.341 -12.417 0.000 2.341 12.417 0.000 0.000 0.000 4.805" Properties=species:S:1:pos:R:3 pbc="T T T"
Gd 2.341 7.702 0.000
Sn 2.341 -2.452 0.000
Pb 2.341 -9.930 2.402
Pb 2.341 9.930 2.402
Gd 0.000 0.000 0.000
Sn 2.341 2.452 0.000
Pb 2.341 0.000 2.402
Tl 2.341 5.138 2.402
Tl 2.341 -5.138 2.402
Gd 2.341 -7.702 0.000
```

Computed properties:
* density: 10.342 Mg/m³
* relative energy among the computed polymorphs: 1.17 kcal/mol of atoms
* final energy: -4.14 eV per atom
* space-group type: Cmmm, No. 65

***

# Gd3Tl2SnPb4

A relaxed structure of Gd3Tl2SnPb4 (GGA-PBE, OQMD).

Structure (extended XYZ):
```
10
Lattice="-2.353 3.628 -11.888 -2.166 -2.257 12.257 1.432 4.434 1.070" Properties=species:S:1:pos:R:3 pbc="T T T"
Gd -2.318 2.503 -7.273
Pb -1.469 0.545 10.390
Pb -1.619 5.259 -8.951
Gd 0.000 0.000 0.000
Tl -1.505 1.682 5.725
Pb -2.278 1.264 -2.189
Tl -1.583 4.122 -4.286
Pb -2.242 0.107 2.558
Gd -2.202 -1.133 7.642
Sn -1.544 2.902 0.719
```

Computed properties:
* density: 10.786 Mg/m³
* relative energy among the computed polymorphs: 0.90 kcal/mol of atoms
* final energy: -4.09 eV per atom
* space-group type: Cmmm, No. 65

***

> The highest density belongs to which entry?

Gd3Tl2SnPb4